Here is a geometry-optimized SbPt2Cl2 structure from Alexandria. Energies are from PBE.

Cell and atoms, written as CIF:
```
data_SbPt2Cl2
_symmetry_space_group_name_H-M 'I 4/m m m'
_symmetry_Int_Tables_number 139
_symmetry_space_group_name_Hall '-I 4 2'
_cell_length_a 4.988
_cell_length_b 4.988
_cell_length_c 8.449
_cell_angle_alpha 90.00
_cell_angle_beta 90.00
_cell_angle_gamma 90.00
loop_
_atom_site_label
_atom_site_type_symbol
_atom_site_fract_x
_atom_site_fract_y
_atom_site_fract_z
_atom_site_occupancy
Sb1 Sb 0.000 0.000 0.000 1
Pt1 Pt 0.000 0.500 0.250 1
Cl1 Cl 0.000 0.000 0.327 1
```

Values from the calculation:
calculated density: 9.21 Mg/m³
spin magnetization: 0.0 μB per formula unit
raw formation energy: 0.568 eV per atom
E: -3.412 eV per atom